Crystalline Na3Hg4Bi at its relaxed geometry, computed with PBE-GGA.

Computed properties:
**E_form**: -0.2308 eV per atom
**Total magnetic moment**: 0.00 μB/atom
**DFT total energy**: -1.36 eV/atom

a b c (Å): 3.493 5.882 22.719
angles (deg): 152.14 94.41 90.00
Sites, in units of the cell vectors:
Na 0.000 0.500 0.000
Na 0.129 0.762 0.259
Na 0.871 0.238 0.741
Hg 0.629 0.265 0.259
Hg 0.371 0.735 0.741
Hg 0.748 0.733 0.496
Hg 0.252 0.267 0.504
Bi 0.500 0.000 0.000

Crystalline TlZn4Co at its relaxed geometry, computed with PBE-GGA.

Computed properties:
**E_form**: 0.2868 eV per atom
**Total magnetic moment**: 0.15 μB/atom
**DFT total energy**: -2.14 eV/atom

a b c (Å): 5.131 5.131 5.131
angles (deg): 60.00 60.00 60.00
Last column: magnetic moment on the atom in μB.
Sites, in units of the cell vectors:
Tl 0.000 0.000 0.000  -0.01
Zn 0.624 0.624 0.129  -0.01
Zn 0.624 0.129 0.624  -0.01
Zn 0.624 0.624 0.624  -0.01
Zn 0.129 0.624 0.624  -0.01
Co 0.250 0.250 0.250  1.07

Crystalline SrOs2Br at its relaxed geometry, computed with PBE-GGA.

Computed properties:
**Formation energy from raw total energies**: 75 meV/atom
**Total magnetic moment**: 0.00 μB/atom
**DFT total energy**: -6.38 eV/atom
**Excess energy over the best structure of this formula in the dataset**: 0 meV per atom

a b c (Å): 4.087 4.087 7.817
angles (deg): 80.23 80.23 59.42
Sites, in units of the cell vectors:
Sr 0.478 0.478 0.527
Os 0.083 0.083 0.821
Os 0.739 0.739 0.877
Br 0.201 0.201 0.275

Crystalline Re2Pt at its relaxed geometry, computed with PBE-GGA.

Computed properties:
**E_form**: 0.3008 eV per atom
**Total magnetic moment**: 0.00 μB/atom
**DFT total energy**: -10.01 eV/atom
**Excess energy over the best structure of this formula in the dataset**: 388 meV per atom

a b c (Å): 5.040 5.040 5.040
angles (deg): 104.29 104.29 120.43
Sites, in units of the cell vectors:
Re 0.136 0.636 0.772
Re 0.364 0.136 0.500
Re 0.636 0.864 0.500
Re 0.864 0.364 0.228
Pt 0.250 0.250 0.000
Pt 0.750 0.750 0.000

Crystalline Ti3AlOs at its relaxed geometry, computed with PBE-GGA.

Computed properties:
**E_form**: 0.4418 eV per atom
**Total magnetic moment**: 0.12 μB/atom
**DFT total energy**: -7.29 eV/atom
**Excess energy over the best structure of this formula in the dataset**: 0 meV per atom

a b c (Å): 4.726 4.726 4.726
angles (deg): 90.00 90.00 90.00
Last column: magnetic moment on the atom in μB.
Sites, in units of the cell vectors:
Os 0.000 0.000 0.000  -0.03
Al 0.500 0.500 0.500  -0.01
Ti 0.000 0.500 0.000  0.14
Ti 0.000 0.000 0.500  0.10
Ti 0.500 0.000 0.000  0.25

Crystalline Nd2Ni7P4 at its relaxed geometry, computed with PBE-GGA.

Computed properties:
**E_form**: -0.8456 eV per atom
**Total magnetic moment**: 0.00 μB/atom
**DFT total energy**: -6.36 eV/atom

a b c (Å): 3.761 9.248 10.458
angles (deg): 90.00 90.00 90.00
Sites, in units of the cell vectors:
Nd 0.500 0.436 0.500
Nd 0.500 0.060 0.283
Nd 0.000 0.940 0.783
Nd 0.000 0.564 0.000
Ni 0.500 0.305 0.076
Ni 0.500 0.747 0.403
Ni 0.500 0.417 0.804
Ni 0.500 0.061 0.979
Ni 0.500 0.682 0.762
Ni 0.000 0.274 0.671
Ni 0.000 0.253 0.903
Ni 0.000 0.695 0.576
Ni 0.500 0.096 0.585
Ni 0.000 0.318 0.262
Ni 0.000 0.583 0.304
Ni 0.000 0.904 0.085
Ni 0.000 0.939 0.479
Ni 0.500 0.726 0.171
P 0.000 0.817 0.288
P 0.000 0.186 0.470
P 0.500 0.183 0.788
P 0.000 0.158 0.091
P 0.500 0.478 0.217
P 0.500 0.814 0.970
P 0.500 0.842 0.591
P 0.000 0.522 0.717

Crystalline Li3Zn6Ir at its relaxed geometry, computed with PBE-GGA.

Computed properties:
**E_form**: -0.1437 eV per atom
**Total magnetic moment**: 0.00 μB/atom
**DFT total energy**: -2.37 eV/atom

a b c (Å): 4.373 6.709 6.709
angles (deg): 60.36 71.04 71.04
Sites, in units of the cell vectors:
Li 0.123 0.376 0.376
Li 0.877 0.624 0.624
Li 0.000 0.000 0.000
Zn 0.625 0.056 0.689
Zn 0.375 0.311 0.944
Zn 0.375 0.944 0.311
Zn 0.625 0.689 0.056
Zn 0.242 0.758 0.758
Zn 0.758 0.242 0.242
Ir 0.500 0.500 0.500